12
Lattice="-7.4484 -1.8196 4.2663 -5.0450 -2.1292 -3.0713 -0.0314 -8.6030 -0.4016" Properties=species:S:1:pos:R:3 comment="CePm5Pb6 (GGA-PBE, relaxed)" polymorph_energy_mev_per_atom=34.2 final_energy_ev_per_atom=-4.78 delta_e_f_kj_per_mol_fu=-527 pbc="T T T"
Pb -4.8188 -4.5734 -0.8360
Pb -7.7060 -7.9783 1.6295
Pb -3.1233 -0.9938 0.2548
Pb -6.5174 -8.1310 -1.9966
Pb -6.0074 -4.4207 2.7901
Pb -9.3701 -2.9550 0.9402
Pm -4.5738 -7.0368 1.3591
Pm -7.9510 -5.5149 -0.5657
Pm -3.3942 -7.1246 -2.3198
Pm -1.6822 -3.6075 -1.1531
Pm -6.2467 -1.9744 0.5975
Ce 0.0000 0.0000 0.0000


7
Lattice="-3.6441 -2.1317 0.1088 1.4326 -2.6021 -3.0020 5.1794 -4.2067 9.0886" Properties=species:S:1:pos:R:3 comment="Ce4PmPb2 (GGA-PBE, relaxed)" final_energy_ev_per_atom=-5.16 delta_e_f_kj_per_mol_fu=-18 pbc="T T T"
Ce 1.2544 -2.0242 2.3532
Ce 2.7531 -4.5879 2.3200
Ce 1.7135 -6.9164 3.8422
Ce 0.2147 -4.3527 3.8754
Pm 0.0000 0.0000 0.0000
Pb -0.4601 -3.4089 -0.2353
Pb 3.4279 -5.5317 6.4307


11
Lattice="4.3241 0.0000 0.0000 0.0000 9.9277 0.0000 0.0000 -4.9639 8.5977" Properties=species:S:1:pos:R:3 comment="CePm6Pb4 (GGA-PBE, relaxed)" final_energy_ev_per_atom=-4.84 delta_e_f_kj_per_mol_fu=-383 pbc="T T T"
Pm 2.1620 -2.0287 6.9031
Pm 2.1620 2.0287 6.9031
Pm 0.0000 4.9639 0.6882
Pm 0.0000 6.8498 3.9547
Pm 0.0000 3.0780 3.9547
Pm 2.1620 0.0000 3.3892
Pb 2.1620 7.4835 1.4112
Pb 2.1620 2.4442 1.4112
Pb 0.0000 0.0000 5.7318
Pb 2.1620 4.9639 5.7753
Ce 0.0000 0.0000 0.0000


8
Lattice="4.9185 0.0000 0.0000 0.0000 4.9185 0.0000 0.0000 0.0000 9.8301" Properties=species:S:1:pos:R:3 comment="CePmPb6 (GGA-PBE, relaxed)" final_energy_ev_per_atom=-4.47 delta_e_f_kj_per_mol_fu=-272 pbc="T T T"
Pb 2.4592 0.0000 7.3759
Pb 2.4592 2.4592 0.0000
Pb 2.4592 2.4592 4.9150
Pb 2.4592 0.0000 2.4541
Pb 0.0000 2.4592 2.4541
Pb 0.0000 2.4592 7.3759
Ce 0.0000 0.0000 0.0000
Pm 0.0000 0.0000 4.9150


16
Lattice="-2.5305 -3.6586 -4.8178 4.9026 4.9863 -6.3615 3.7951 -7.7385 3.8833" Properties=species:S:1:pos:R:3 comment="Ce2Pm3Pb3 (GGA-PBE, relaxed)" polymorph_energy_mev_per_atom=0.0 final_energy_ev_per_atom=-5.12 delta_e_f_kj_per_mol_fu=-362 pbc="T T T"
Pm 3.0766 2.8579 -6.0175
Pm 4.6828 -4.8263 -5.4884
Pm 2.2387 -6.7695 1.7336
Pm -0.9741 -4.6276 -2.6681
Pm 1.4845 -1.5846 -1.8077
Pm -0.7045 -1.5303 -5.1619
Pb 1.0950 0.2999 -7.4968
Pb 1.4903 -3.8161 -4.5788
Pb 0.8458 -3.9292 0.3083
Pb 4.6770 -2.5948 -2.7173
Pb 1.2772 1.0277 -3.6826
Pb 0.4189 -7.4680 -1.2428
Ce 4.5335 0.7447 -2.9466
Ce 2.8991 -5.3263 -1.9406
Ce 4.1643 -3.4969 0.4683
Ce 3.2682 -1.0847 -5.3555


19
Lattice="-0.5051 7.8783 3.9857 -6.2923 -4.3024 4.4838 7.1537 -3.2322 4.0726" Properties=species:S:1:pos:R:3 comment="CePm12Pb6 (GGA-PBE, relaxed)" final_energy_ev_per_atom=-4.60 delta_e_f_kj_per_mol_fu=-208 pbc="T T T"
Pm 1.5027 2.1212 4.7988
Pm 2.6209 0.0208 7.5871
Pm 0.8760 -1.9659 10.9641
Pm 1.9884 1.9203 10.8260
Pm -0.5198 2.3096 1.5780
Pm 1.1789 -2.0419 4.9220
Pm 2.2902 -0.5995 1.5779
Pm -2.2647 0.3229 4.9550
Pm -1.9340 0.9432 10.9642
Pm -1.6321 -1.5766 1.7161
Pm -0.8226 2.3856 7.6201
Pm -1.1464 -1.7775 7.7434
Pb -1.9397 -2.8908 4.6960
Pb -1.4490 3.4266 4.5089
Pb 2.2960 3.2345 7.8461
Pb -3.4206 0.5051 8.0833
Pb 3.7768 -0.1614 4.4588
Pb 1.8052 -3.0829 8.0332
Ce 0.0000 0.0000 0.0000


12
Lattice="-1.6284 -6.8432 -1.0701 5.5038 -2.3860 -7.3021 7.1035 -2.8247 0.1620" Properties=species:S:1:pos:R:3 comment="CePm6Pb5 (GGA-PBE, relaxed)" final_energy_ev_per_atom=-4.74 delta_e_f_kj_per_mol_fu=-372 pbc="T T T"
Pb 4.6251 -1.8954 -2.0097
Pb 5.7911 -6.2206 -6.8720
Pb 5.1878 -5.8333 -1.3382
Pb 1.9377 -4.6146 -4.1861
Pb 7.9822 -3.3153 -5.1304
Pm 1.3383 -2.0884 -2.4210
Pm 2.5371 -7.1407 -5.9512
Pm 5.0600 -4.1979 -4.1742
Pm 1.9348 -6.2009 -1.4647
Pm 5.9188 -7.8559 -4.0360
Pm 9.0441 -5.8529 -6.7456
Ce 0.0000 0.0000 0.0000


6
Lattice="4.8479 0.4098 -0.0005 0.4396 4.8721 -0.0009 0.0007 0.0006 8.9468" Properties=species:S:1:pos:R:3 comment="CePmPb4 (GGA-PBE, relaxed)" final_energy_ev_per_atom=-4.39 delta_e_f_kj_per_mol_fu=-78 pbc="T T T"
Pb 2.6914 0.4274 2.2105
Pb 4.8358 2.5727 2.2320
Pb 4.8359 2.5735 6.6795
Pb 2.6920 0.4274 6.7025
Ce 2.2284 3.0511 8.9293
Pm 0.8164 4.4884 4.4560


8
Lattice="4.4507 0.0000 0.0000 0.0000 4.8642 0.0000 -2.2253 -2.4321 11.1506" Properties=species:S:1:pos:R:3 comment="Ce2Pm3Pb3 (GGA-PBE, relaxed)" polymorph_energy_mev_per_atom=99.5 final_energy_ev_per_atom=-5.02 delta_e_f_kj_per_mol_fu=-285 pbc="T T T"
Pb 2.2253 2.4321 8.1248
Pb 0.0000 2.4321 0.0000
Pb 0.0000 0.0000 3.0258
Pm 0.0000 0.0000 8.4815
Pm 2.2253 2.4321 2.6691
Pm 2.2253 0.0000 0.0000
Ce 0.0000 2.4321 5.6157
Ce 2.2253 0.0000 5.5348


12
Lattice="-2.5960 -0.1816 5.2923 2.3160 -5.4557 0.9489 8.0740 7.4627 4.2165" Properties=species:S:1:pos:R:3 comment="Ce3Pm2Pb7 (GGA-PBE, relaxed)" final_energy_ev_per_atom=-4.63 delta_e_f_kj_per_mol_fu=-216 pbc="T T T"
Pb 2.5555 -2.0111 1.1845
Pb 5.1917 2.6627 2.6380
Pb 0.0000 0.0000 0.0000
Pb 5.1983 -0.6556 2.5274
Pb 7.6303 1.1666 7.0689
Pb 7.8345 4.0181 3.9809
Pb 0.1636 0.6588 3.3888
Ce 5.1548 3.2187 5.9250
Ce 2.6391 -1.3933 4.5327
Ce -0.1400 -2.8186 3.1206
Pm 2.6018 1.3344 1.3221
Pm 7.7881 0.6726 3.8434


11
Lattice="4.9834 0.0000 0.0000 -2.4917 5.8508 0.0000 0.0000 0.0000 12.1756" Properties=species:S:1:pos:R:3 comment="Ce3Pm4Pb4 (GGA-PBE, relaxed)" final_energy_ev_per_atom=-4.98 delta_e_f_kj_per_mol_fu=-298 pbc="T T T"
Pb 2.4917 2.8695 2.6943
Pb 2.4917 2.8695 9.4812
Pb 2.4917 5.1182 0.0000
Pb 2.4917 5.6095 6.0878
Pm 0.0000 0.7303 9.1855
Pm 2.4917 1.9856 6.0878
Pm 0.0000 0.7303 2.9900
Pm 2.4917 1.0708 0.0000
Ce 0.0000 4.2865 4.3094
Ce 0.0000 4.2865 7.8661
Ce 0.0000 3.1899 0.0000


18
Lattice="-7.5243 0.9415 -3.5187 1.6804 -6.2815 -5.2739 -4.0842 -2.3238 8.1118" Properties=species:S:1:pos:R:3 comment="Ce2Pm2Pb5 (GGA-PBE, relaxed)" final_energy_ev_per_atom=-4.80 delta_e_f_kj_per_mol_fu=-314 pbc="T T T"
Pb -6.3381 -4.6602 -4.9011
Pb -3.5901 -3.0036 4.2203
Pb 0.0000 0.0000 0.0000
Pb -3.8679 -0.3013 0.9132
Pb -5.4263 -1.7386 -1.4448
Pb -4.5019 -5.9252 0.7641
Pb -6.0602 -7.3625 -1.5940
Pb -1.2758 -3.6613 -0.9045
Pb -8.6524 -4.0025 0.2237
Pb -2.9220 -2.6700 -4.3963
Ce -1.2389 -2.0869 2.0909
Ce -5.7673 -2.9068 1.6246
Ce -4.1609 -4.7570 -2.3054
Ce -1.1649 -6.5183 0.7470
Pm -2.2455 -0.7203 -2.0494
Pm -0.1223 -4.0215 -4.0864
Pm -3.5985 -4.6197 -6.7432
Pm -5.7217 -1.3185 -4.7062